Here is crystalline Pm5SmGa6 at its relaxed geometry from Alexandria via LeMat-Bulk. Energies are from PBE.

Cell and atoms, written as extended XYZ:
```
12
Lattice="2.590 -7.777 0.000 2.590 7.777 0.000 0.000 0.000 7.330" Properties=species:S:1:pos:R:3 pbc="T T T"
Pm 0.000 0.000 0.000
Pm 2.590 2.598 0.000
Pm 2.590 2.591 3.665
Pm 2.590 -2.598 0.000
Pm 2.590 -2.591 3.665
Sm 0.000 0.000 3.665
Ga 2.590 5.192 1.837
Ga 2.590 5.192 5.493
Ga 2.590 0.000 1.838
Ga 2.590 0.000 5.492
Ga 2.590 -5.192 1.837
Ga 2.590 -5.192 5.493
```

Summary:
The value obtained for the total energy is -4.455 eV per atom. The density of states at the Fermi level comes out at 0.43 states/eV/atom. The space group is Cmmm. As for the total magnetic moment: 0.0 μB per cell. As for the calculated volume: 295.28 Å³/cell.

=====

Here is crystalline Ba4AlZn at its relaxed geometry from Alexandria via LeMat-Bulk. Energies are from PBE.

Cell and atoms, written as extended XYZ:
```
6
Lattice="0.000 5.126 5.126 5.126 0.000 5.126 5.126 5.126 0.000" Properties=species:S:1:pos:R:3 pbc="T T T"
Ba 3.850 3.850 3.850
Ba 6.402 6.402 3.850
Ba 6.402 3.850 6.402
Ba 3.850 6.402 6.402
Al 7.689 7.689 7.689
Zn 0.000 0.000 0.000
```

Summary:
The density of states at the Fermi level comes out at 1.42 states/eV/atom. The energy relative to the lowest polymorph listed for this composition is 0.666 eV/atom. The space group is F-43m. As for the total magnetic moment: 0.0 μB per cell. As for the calculated volume: 269.33 Å³/cell.

=====

Here is crystalline GeOs2RhW at its relaxed geometry from Alexandria via LeMat-Bulk. Energies are from PBE.

Cell and atoms, written as extended XYZ:
```
5
Lattice="4.741 0.000 0.000 0.000 4.741 0.000 0.000 0.000 4.744" Properties=species:S:1:pos:R:3 pbc="T T T"
Ge 0.000 0.000 0.000
Os 0.000 2.371 2.372
Os 2.371 0.000 2.372
Rh 2.371 2.371 0.000
W 2.371 2.371 2.372
```

Summary:
The value obtained for the total energy is -7.601 eV per atom. The density of states at the Fermi level comes out at 1.12 states/eV/atom. The space group is P4/mmm. As for the total magnetic moment: 0.5 μB per cell. As for the calculated volume: 106.65 Å³/cell.

=====

Here is crystalline FeHgSb2 at its relaxed geometry from Alexandria via LeMat-Bulk. Energies are from PBE.

Cell and atoms, written as extended XYZ:
```
4
Lattice="5.073 -1.579 0.000 5.073 1.579 0.000 -2.430 0.000 5.894" Properties=species:S:1:pos:R:3 pbc="T T T"
Fe 0.000 0.000 0.000
Hg 7.487 0.000 0.001
Sb 2.444 0.000 3.814
Sb 5.000 0.000 2.084
```

Summary:
The value obtained for the uncorrected formation energy is 0.1922 eV/atom. The density of states at the Fermi level comes out at 0.46 states/eV/atom. The space group is Cm. As for the total magnetic moment: 1.9 μB per cell. As for the calculated volume: 94.41 Å³/cell.